{
  "formula": "TiZnAg2",
  "functional": "PBE-GGA",
  "state": "relaxed",
  "magmom_total_mub_per_cell": 1.0,
  "dos_at_fermi_per_ev_atom": 0.665,
  "formation_energy_ev_per_atom": 0.016,
  "energy_ev_per_atom": -3.70,
  "cell": [[-0.3751, -2.8562, -0.5831], [0.0592, -0.5953, 2.8776], [-7.7182, 0.9415, 0.3536]],
  "species": ["Ti", "Ag", "Ag", "Zn"],
  "frac_coords": [[0.5000, 0.5000, 0.5000], [0.0000, 0.0000, 0.2392], [0.0000, 0.0000, 0.7608], [0.5000, 0.5000, 0.0000]]
}